Record 1
Density functional theory data (PBE) for a relaxed Si3RuF crystal.

POSCAR file:
```
Si3RuF
1.0
4.553 0.000 0.000
0.000 4.553 0.000
0.000 0.000 4.553
Si Ru F
3 1 1
Cartesian
0.000 0.000 2.277
0.000 2.277 0.000
2.277 0.000 0.000
0.000 0.000 0.000
2.277 2.277 2.277
```

Results
Space group = Pm-3m
DOS(E_F) = 0.95 states/eV per atom
Crystal system = cubic
Density = 3.6 Mg/m³
Uncorrected formation energy = -123 meV per atom
E above lowest polymorph = 0.0 kJ/mol of formula units

=====

Record 2
Density functional theory data (PBE) for a relaxed SiRuF2 crystal.

POSCAR file:
```
SiRuF2
1.0
-2.626 2.626 4.580
2.626 -2.626 4.580
2.626 2.626 -4.580
Si Ru F
2 2 4
Cartesian
0.000 0.000 0.000
0.000 2.626 2.290
2.626 0.000 2.290
0.000 0.000 4.580
3.939 1.206 -1.145
1.206 1.313 1.145
-1.313 1.420 3.435
1.420 1.313 5.725
```

Results
Space group = I-42d
DOS(E_F) = 0.33 states/eV per atom
Crystal system = tetragonal
Density = 4.4 Mg/m³
Uncorrected formation energy = 165 meV per atom
E above lowest polymorph = 398.3 kJ/mol of formula units